[1]
Computed, not measured: a relaxed structure of LaBePb at the PBE-GGA level of DFT.

Cell: 4.9599 5.0048 11.8584 Å, 90.00 90.00 90.00°
Closest atoms and distances in Å follow each position.
Fractional positions:
La 0.0000 0.0000 0.0000  4 Be 3.17-3.19, 1 Pb 3.37, 4 La 3.52
La 0.0000 0.5000 0.5000  4 Be 3.17-3.19, 1 Pb 3.37, 4 La 3.52
La 0.5000 0.0000 0.5000  4 Be 3.17-3.19, 1 Pb 3.37, 4 La 3.52
La 0.5000 0.5000 0.0000  4 Be 3.17-3.19, 1 Pb 3.37, 4 La 3.52
Be 0.0000 0.0000 0.3335  4 Pb 2.84-2.86, 2 La 3.17
Be 0.0000 0.5000 0.8335  4 Pb 2.84-2.86, 2 La 3.17
Be 0.5000 0.0000 0.8335  4 Pb 2.84-2.86, 2 La 3.17
Be 0.5000 0.5000 0.3335  4 Pb 2.84-2.86, 2 La 3.17
Pb 0.0000 0.0000 0.7160  4 Be 2.84-2.86
Pb 0.0000 0.5000 0.2160  4 Be 2.84-2.86
Pb 0.5000 0.0000 0.2160  4 Be 2.84-2.86
Pb 0.5000 0.5000 0.7160  4 Be 2.84-2.86

Properties
energy of formation = 0.08 eV per atom
space group = Fmm2
N(E_F) = 0.446 states/eV/atom
excess energy over the best structure of this formula in the dataset = 0.3545 eV/atom
total DFT energy (no corrections) = -4.04 eV/atom

=====

[2]
Computed, not measured: a relaxed structure of LaBe2Pb at the PBE-GGA level of DFT.

Cell: 3.5427 3.5427 6.7239 Å, 90.00 90.00 90.00°
Closest atoms and distances in Å follow each position.
Fractional positions:
La 0.0000 0.0000 0.0000  8 Be 3.27, 2 Pb 3.36, 4 La 3.54
Be 0.5000 0.5000 0.3122  1 Be 2.53, 4 Pb 2.81
Be 0.5000 0.5000 0.6878  1 Be 2.53, 4 Pb 2.81
Pb 0.0000 0.0000 0.5000  8 Be 2.81

Properties
energy of formation = 0.36 eV per atom
space group = P4/mmm
N(E_F) = 0.558 states/eV/atom
total DFT energy (no corrections) = -3.66 eV/atom

=====

> Among the records above, which one has the highest total DFT energy (no corrections)?

LaBe2Pb

=====

> Which of these has the highest total DFT energy (no corrections)?

LaBe2Pb

=====

> Among the records above, which one has the lowest energy of formation?

LaBePb

=====

> What is the energy of formation in the first record?

0.08 eV per atom